Entry 1:
Here is crystalline TlBrN at its relaxed geometry from the Alexandria database. Energies are from PBE-GGA.

Results
Uncorrected energy (Ry/atom): -0.3438
Total magnetic moment (μB per formula unit): 0.00
Raw formation energy (meV per atom): -556
SG: P2_1/c

Unit cell a=11.1027 b=4.7443 c=9.4821 alpha=90.00 beta=92.14 gamma=90.00
Last column: nearest neighbours and their distance in Å.
Fractional coordinates of all 12 atoms:
Tl: 0.1482 0.2484 0.3814  5 Br 3.16-3.36
Tl: 0.1482 0.2516 0.8814  5 Br 3.16-3.36
Tl: 0.8518 0.7484 0.1186  5 Br 3.16-3.36
Tl: 0.8518 0.7516 0.6186  5 Br 3.16-3.36
Br: 0.1368 0.7499 0.1314  5 Tl 3.16-3.36
Br: 0.1368 0.7501 0.6314  5 Tl 3.16-3.36
Br: 0.8632 0.2499 0.3686  5 Tl 3.16-3.36
Br: 0.8632 0.2501 0.8686  5 Tl 3.16-3.36
N: 0.4708 0.0786 0.9717  1 N 1.11
N: 0.4708 0.4214 0.4717  1 N 1.11
N: 0.5292 0.5786 0.5283  1 N 1.11
N: 0.5292 0.9214 0.0283  1 N 1.11



Entry 2:
Here is crystalline Sm2DyHoS4 at its relaxed geometry from the Alexandria database. Energies are from PBE-GGA.

Results
Uncorrected energy (Ry/atom): -0.4701
Total magnetic moment (μB per formula unit): 0.00
Raw formation energy (meV per atom): -2005
SG: P2/m

Unit cell a=6.8171 b=3.9068 c=6.9302 alpha=90.00 beta=108.91 gamma=90.00
Last column: nearest neighbours and their distance in Å.
Fractional coordinates of all 8 atoms:
Sm: 0.0000 0.0000 0.0000  6 S 2.84
Sm: 0.5000 0.5000 0.0000  6 S 2.83-2.84
Dy: 0.0000 0.5000 0.5000  6 S 2.76
Ho: 0.5000 0.0000 0.5000  6 S 2.75
S: 0.2472 0.0000 0.7390  1 Ho 2.75, 2 Dy 2.76, 3 Sm 2.83-2.84
S: 0.2550 0.5000 0.2616  2 Ho 2.75, 1 Dy 2.76, 3 Sm 2.84
S: 0.7450 0.5000 0.7384  2 Ho 2.75, 1 Dy 2.76, 3 Sm 2.84
S: 0.7528 0.0000 0.2610  1 Ho 2.75, 2 Dy 2.76, 3 Sm 2.83-2.84